Density functional theory data (GGA-PBE) for crystalline Te2PPt at its relaxed geometry.

a b c (Å): 3.8519 4.1542 12.2925
angles (deg): 90.00 90.00 90.00
Closest atoms and distances in Å follow each position.
Fractional positions:
Te  0.0000  0.0000  0.1563  2 Pt 2.72, 2 P 2.83
Te  0.0000  0.0000  0.8437  2 Pt 2.72, 2 P 2.83
Te  0.5000  0.5000  0.3437  2 Pt 2.72, 2 P 2.83
Te  0.5000  0.5000  0.6563  2 Pt 2.72, 2 P 2.83
P  0.0000  0.5000  0.0000  4 Te 2.83, 4 Pt 2.83
P  0.5000  0.0000  0.5000  4 Te 2.83, 4 Pt 2.83
Pt  0.0000  0.5000  0.5000  4 Te 2.72, 4 P 2.83
Pt  0.5000  0.0000  0.0000  4 Te 2.72, 4 P 2.83

VASP energy	-4.3518	eV/atom
formation energy from raw total energies	8	kJ per mole of atoms
D(E_F)	0.29	states/eV/atom